Density functional theory data (GGA-PBE) for an optimized crystal structure of Sm6TlPd.

Structure (POSCAR):
```
Sm6TlPd
1.0
3.5415 -5.9762 0.0000
3.5415 5.9762 0.0000
-3.1101 0.0000 6.1818
Sm Tl Pd
6 1 1
Direct
0.0166 0.4243 0.2427
0.2318 0.2318 0.7762
0.4243 0.0166 0.2427
0.5757 0.9834 0.7573
0.7682 0.7682 0.2238
0.9834 0.5757 0.7573
0.5000 0.5000 0.5000
0.0000 0.0000 0.0000
```

## Properties
For the formation energy, the calculation gives -0.053 eV per atom.

Density functional theory data (GGA-PBE) for an optimized crystal structure of Mg2ZnCd2.

Structure (POSCAR):
```
Mg2ZnCd2
1.0
6.4573 -3.6751 0.0000
6.4573 3.6751 0.0000
-1.6105 0.0000 4.5644
Mg Zn Cd
4 2 4
Direct
0.0256 0.7020 0.6311
0.2980 0.9744 0.8689
0.7020 0.0256 0.1311
0.9744 0.2980 0.3689
0.1360 0.8640 0.2500
0.8640 0.1360 0.7500
0.2372 0.4421 0.1119
0.4421 0.2372 0.6119
0.5579 0.7628 0.3881
0.7628 0.5579 0.8881
```

## Properties
For the formation energy, the calculation gives -0.027 eV per atom.

Density functional theory data (GGA-PBE) for an optimized crystal structure of Dy2Er2Se3.

Structure (POSCAR):
```
Dy2Er2Se3
1.0
6.6632 -1.9742 0.0000
6.6632 1.9742 0.0000
-1.2940 0.0000 6.7688
Dy Er Se
2 2 3
Direct
0.1236 0.1236 0.3581
0.8764 0.8764 0.6419
0.3832 0.3832 0.1140
0.6168 0.6168 0.8860
0.2406 0.2406 0.7493
0.5000 0.5000 0.5000
0.7594 0.7594 0.2507
```

## Properties
As for the raw formation energy: -1.45 eV per atom.

Density functional theory data (GGA-PBE) for an optimized crystal structure of Na2NpTiO6.

Structure (POSCAR):
```
Na2NpTiO6
1.0
5.6386 0.0000 0.0000
0.0000 5.6386 0.0000
0.0000 0.0000 4.2587
Na Np Ti O
2 1 1 6
Direct
0.0000 0.5000 0.0000
0.5000 0.0000 0.0000
0.0000 0.0000 0.5712
0.5000 0.5000 0.5071
0.0000 0.0000 0.0750
0.2542 0.2542 0.5889
0.2542 0.7458 0.5889
0.5000 0.5000 0.1002
0.7458 0.2542 0.5889
0.7458 0.7458 0.5889
```

## Properties
As for the raw formation energy: -2.57 eV per atom.